Compound: MnCdIn3
Source: Alexandria
Functional: GGA-PBEsol
Structure: relaxed

abc: 5.3371 5.3371 5.3371
angles: 90.00 90.00 90.00
Last column: magnetic moment on the atom in μB.
Atoms (fractional coordinates):
Mn 0.5000 0.5000 0.5000  4.40
Cd 0.0000 0.0000 0.0000  0.01
In 0.0000 0.5000 0.0000  -0.02
In 0.5000 0.0000 0.0000  -0.02
In 0.0000 0.0000 0.5000  -0.02

energy of formation: 0.90 eV per atom
crystal system: cubic
total DFT energy (no corrections): -15.4 eV per cell
space group: Pm-3m (221)